[1]
Material: CsTl2CdCu
Method: DFT, PBE
State: relaxed

Computed properties:
The value obtained for the calculated density is 7.3 Mg/m³. As for the magnetization: 0.0 μB per cell. Its symmetry is P4/mmm, No. 123. As for the crystal system: tetragonal.

Cell and atoms, written as POSCAR:
```
CsTl2CdCu
1.0
5.463 0.000 0.000
0.000 5.463 0.000
0.000 0.000 5.444
Cs Tl Cd Cu
1 2 1 1
Direct
0.000 0.000 0.000
0.000 0.500 0.500
0.500 0.000 0.500
0.500 0.500 0.000
0.500 0.500 0.500
```

[2]
Material: V5As3
Method: DFT, PBE
State: relaxed

Computed properties:
The value obtained for the calculated density is 6.9 Mg/m³. As for the magnetization: 0.0 μB per cell. Its symmetry is Pnma, No. 62. As for the crystal system: orthorhombic.

Cell and atoms, written as POSCAR:
```
V5As3
1.0
9.460 0.000 0.000
0.000 7.506 0.000
0.000 0.000 6.455
V As
20 12
Direct
0.011 0.250 0.026
0.078 0.059 0.704
0.078 0.441 0.704
0.218 0.750 0.353
0.249 0.250 0.299
0.251 0.750 0.799
0.282 0.250 0.853
0.422 0.559 0.204
0.422 0.941 0.204
0.489 0.750 0.526
0.511 0.250 0.474
0.578 0.059 0.796
0.578 0.441 0.796
0.718 0.750 0.147
0.749 0.250 0.201
0.751 0.750 0.701
0.782 0.250 0.647
0.922 0.559 0.296
0.922 0.941 0.296
0.989 0.750 0.974
0.008 0.750 0.585
0.172 0.516 0.073
0.172 0.984 0.073
0.328 0.016 0.573
0.328 0.484 0.573
0.492 0.250 0.085
0.508 0.750 0.915
0.672 0.516 0.427
0.672 0.984 0.427
0.828 0.016 0.927
0.828 0.484 0.927
0.992 0.250 0.415
```

[3]
Material: TlCdIn2Ni
Method: DFT, PBE
State: relaxed

Computed properties:
The value obtained for the calculated density is 7.9 Mg/m³. As for the magnetization: 0.0 μB per cell. The energy above the most stable polymorph in this dataset is 0 meV/atom. Its symmetry is P4/mmm, No. 123. As for the crystal system: tetragonal.

Cell and atoms, written as POSCAR:
```
TlCdIn2Ni
1.0
4.989 0.000 0.000
0.000 4.989 0.000
0.000 0.000 5.120
Tl Cd In Ni
1 1 2 1
Direct
0.000 0.000 0.000
0.500 0.500 0.000
0.000 0.500 0.500
0.500 0.000 0.500
0.500 0.500 0.500
```

[4]
Material: La2RhAu
Method: DFT, PBE
State: relaxed

Computed properties:
The value obtained for the calculated density is 9.2 Mg/m³. As for the magnetization: 0.0 μB per cell. Its symmetry is P2_1/m, No. 11. As for the crystal system: monoclinic.

Cell and atoms, written as POSCAR:
```
La2RhAu
1.0
6.131 0.000 0.000
0.000 4.450 0.000
-2.890 0.000 7.659
La Rh Au
4 2 2
Direct
0.220 0.250 0.444
0.231 0.250 0.921
0.769 0.750 0.079
0.780 0.750 0.556
0.302 0.750 0.708
0.698 0.250 0.292
0.328 0.750 0.209
0.672 0.250 0.791
```

| no. | energy of formation from the pure elements (meV per atom) |
| --- | --- |
| 1 | 95 |
| 2 | -432 |
| 3 | -4 |
| 4 | -804 |